## K2NdPdO4 (PBE)

Data for a relaxed structure of K2NdPdO4.

The calculation puts the electronic total energy at -0.2063 hartree per atom. The value obtained for the magnetization is 0.0 μB per cell. Its calculated volume is 127.4 Å³/cell. As for the crystal system: monoclinic.

The space group is P2/m (No. 10) and the conventional cell measures 5.6565, 3.6297 and 6.5454 Å, with angles of 90.00, 108.56 and 90.00 degrees. Symmetry generates all atoms from K at (0.0000, 0.0000, 0.0000), K at (0.5000, 0.5000, 0.0000), Nd at (0.0000, 0.5000, 0.5000), Pd at (0.5000, 0.0000, 0.5000), O at (0.2558, 0.0000, 0.6887) and O at (0.2906, 0.5000, 0.3103).

---

## KPm4NdO8 (PBE)

Data for a relaxed structure of KPm4NdO8.

The calculation puts the electronic total energy at -0.2828 hartree per atom. The value obtained for the magnetization is 0.0 μB per cell. Its calculated volume is 780.4 Å³/cell. As for the crystal system: trigonal.

The space group is R3m (No. 160, hexagonal axes) and the conventional cell measures 7.1556, 7.1556 and 17.5990 Å, with angles of 90.00, 90.00 and 120.00 degrees. Symmetry generates all atoms from K at (0.0000, 0.0000, 0.0000), Pm at (0.0000, 0.0000, 0.2503), Pm at (0.1706, 0.3411, 0.4576), Nd at (0.0000, 0.0000, 0.6280), O at (0.0000, 0.0000, 0.3818), O at (0.0000, 0.0000, 0.8538), O at (0.0559, 0.5279, 0.3832) and O at (0.1749, 0.3499, 0.2061).

---

Q: Which value of electronic total energy does entry 2 give?
A: -0.2828 hartree per atom

---

Q: Look up the calculated volume of the first one.
A: 127.4 Å³/cell